Entry from OQMD via LeMat-Bulk: a geometry-optimized Y3Re5N12 structure (PBE-GGA).

Cell: 10.997 10.997 10.997 Å, 109.47 109.47 109.47°
Fractional positions:
Y1 0.125 0.250 0.375
Y2 0.125 0.375 0.750
Y3 0.250 0.375 0.125
Y4 0.250 0.875 0.625
Y5 0.375 0.125 0.250
Y6 0.375 0.750 0.125
Y7 0.625 0.250 0.875
Y8 0.625 0.875 0.750
Y9 0.750 0.125 0.375
Y10 0.750 0.625 0.875
Y11 0.875 0.625 0.250
Y12 0.875 0.750 0.625
Re1 0.000 0.000 0.000
Re2 0.000 0.000 0.500
Re3 0.000 0.500 0.000
Re4 0.000 0.500 0.500
Re5 0.125 0.750 0.875
Re6 0.125 0.875 0.250
Re7 0.250 0.125 0.875
Re8 0.250 0.625 0.375
Re9 0.375 0.250 0.625
Re10 0.375 0.625 0.750
Re11 0.500 0.000 0.000
Re12 0.500 0.000 0.500
Re13 0.500 0.500 0.000
Re14 0.500 0.500 0.500
Re15 0.625 0.375 0.250
Re16 0.625 0.750 0.375
Re17 0.750 0.375 0.625
Re18 0.750 0.875 0.125
Re19 0.875 0.125 0.750
Re20 0.875 0.250 0.125
N1 0.017 0.198 0.116
N2 0.017 0.319 0.901
N3 0.082 0.698 0.681
N4 0.082 0.884 0.401
N5 0.099 0.616 0.418
N6 0.099 0.983 0.681
N7 0.116 0.017 0.198
N8 0.116 0.599 0.918
N9 0.181 0.198 0.582
N10 0.181 0.483 0.599
N11 0.198 0.116 0.017
N12 0.198 0.582 0.181
N13 0.302 0.319 0.918
N14 0.302 0.483 0.384
N15 0.319 0.901 0.017
N16 0.319 0.918 0.302
N17 0.384 0.302 0.483
N18 0.384 0.582 0.901
N19 0.401 0.082 0.884
N20 0.401 0.819 0.517
N21 0.418 0.099 0.616
N22 0.418 0.819 0.802
N23 0.483 0.384 0.302
N24 0.483 0.599 0.181
N25 0.517 0.401 0.819
N26 0.517 0.616 0.698
N27 0.582 0.181 0.198
N28 0.582 0.901 0.384
N29 0.599 0.181 0.483
N30 0.599 0.918 0.116
N31 0.616 0.418 0.099
N32 0.616 0.698 0.517
N33 0.681 0.082 0.698
N34 0.681 0.099 0.983
N35 0.698 0.517 0.616
N36 0.698 0.681 0.082
N37 0.802 0.418 0.819
N38 0.802 0.884 0.983
N39 0.819 0.517 0.401
N40 0.819 0.802 0.418
N41 0.884 0.401 0.082
N42 0.884 0.983 0.802
N43 0.901 0.017 0.319
N44 0.901 0.384 0.582
N45 0.918 0.116 0.599
N46 0.918 0.302 0.319
N47 0.983 0.681 0.099
N48 0.983 0.802 0.884

Calculated values
Spin magnetization   0.138 μB/cell
Raw total energy   -764.25 eV/cell

---

Entry from OQMD via LeMat-Bulk: a geometry-optimized YReN3 structure (PBE-GGA).

Cell: 5.597 7.717 5.378 Å, 90.00 90.00 90.00°
Fractional positions:
Y1 0.061 0.250 0.011
Y2 0.439 0.750 0.511
Y3 0.561 0.250 0.489
Y4 0.939 0.750 0.989
Re1 0.000 0.000 0.500
Re2 0.000 0.500 0.500
Re3 0.500 0.000 0.000
Re4 0.500 0.500 0.000
N1 0.018 0.750 0.416
N2 0.203 0.544 0.801
N3 0.203 0.956 0.801
N4 0.297 0.044 0.301
N5 0.297 0.456 0.301
N6 0.482 0.250 0.916
N7 0.518 0.750 0.084
N8 0.703 0.544 0.699
N9 0.703 0.956 0.699
N10 0.797 0.044 0.199
N11 0.797 0.456 0.199
N12 0.982 0.250 0.584

Calculated values
Spin magnetization   0.020 μB/cell
Raw total energy   -188.83 eV/cell